# 1
VASP calculation (PBE) on a relaxed structure of CsTbBr4.

Values from the calculation:
* N(E_F): 0.00 states/eV per cell
* energy above the most stable polymorph in this dataset: 28 meV/atom
* crystal system: monoclinic
* total DFT energy (no corrections): -92.346 eV per cell
* formation energy (no corrections): -1819 meV per atom

Cell: 16.393 7.874 7.496 Å, 90.00 96.18 90.00°
Space group C2/m (No. 12)
Symmetry-distinct sites (fractional):
Cs: 0.205 0.000 0.249
Tb: 0.033 0.500 0.282
Br: 0.000 0.255 0.000
Br: 0.100 0.281 0.578
Br: 0.192 0.500 0.187

=====

# 2
VASP calculation (PBE) on a relaxed structure of Cs3Tb2Br8.

Values from the calculation:
* crystal system: trigonal
* total DFT energy (no corrections): -142.127 eV per cell
* formation energy (no corrections): -1706 meV per atom

Cell: 8.6894 8.6894 28.4332 Å, 90.00 90.00 120.00°
Space group R-3m (No. 166, hexagonal axes)
Symmetry-distinct sites (fractional):
Cs: 0.0000 0.0000 0.0000
Cs: 0.0000 0.0000 0.2088
Tb: 0.0000 0.0000 0.4302
Br: 0.0000 0.0000 0.3330
Br: 0.0266 0.5133 0.7724

=====

Q: The lowest formation energy (no corrections) belongs to which entry?
A: CsTbBr4